A relaxed CePrCo4 crystal, computed with PBE.

Structure (POSCAR):
```
CePrCo4
1.0
3.5171 0.0000 1.6904
1.8394 5.2957 0.6770
-0.5170 -0.6915 5.5801
Co Ce Pr
4 1 1
direct
0.6655 0.0898 0.0792
0.3345 0.9102 0.9208
0.3345 0.4208 0.4103
0.6655 0.5792 0.5897
0.0000 0.5000 0.0000
0.0000 0.0000 0.5000
```

Results
**Total magnetization**: 0.25 μB/atom
**Energy above the most stable polymorph in this dataset**: 24 meV/atom
**Raw total energy**: -6.592 eV/atom
**Crystal system**: orthorhombic
**ΔH_f (0 K)**: -69 meV/atom



A relaxed CePrCo2 crystal, computed with PBE.

Structure (POSCAR):
```
CePrCo2
1.0
-2.4460 0.7042 4.1051
-4.1121 -2.4033 0.8038
-0.1498 -3.4775 3.3489
Co Ce Pr
2 1 1
direct
0.2500 0.2500 0.2500
0.7500 0.7500 0.7500
0.0000 0.0000 0.0000
0.5000 0.5000 0.5000
```

Results
**Total magnetization**: 0.04 μB/atom
**Energy above the most stable polymorph in this dataset**: 197 meV/atom
**Raw total energy**: -6.204 eV/atom
**Crystal system**: cubic
**ΔH_f (0 K)**: 28 meV/atom



A relaxed CePrCo10 crystal, computed with PBE.

Structure (POSCAR):
```
CePrCo10
1.0
-2.6989 2.4881 -1.5644
-2.2388 0.3239 4.3774
4.9965 6.7142 2.0586
Pr Co Ce
1 10 1
direct
0.0000 0.0000 0.0000
0.5000 0.7536 0.2494
0.0000 0.5000 0.8088
0.5000 0.2464 0.2494
0.0000 0.0000 0.6590
0.5000 0.0000 0.5000
0.5000 0.7536 0.7506
0.5000 0.5000 0.0000
0.0000 0.0000 0.3410
0.0000 0.5000 0.1912
0.5000 0.2464 0.7506
0.0000 0.5000 0.5000
```

Results
**Total magnetization**: 1.05 μB/atom
**Raw total energy**: -6.882 eV/atom
**Crystal system**: orthorhombic
**ΔH_f (0 K)**: -68 meV/atom



A relaxed CePrCo2 crystal, computed with PBE.

Structure (POSCAR):
```
CePrCo2
1.0
-4.4383 2.7721 -3.3403
-3.3430 -5.2891 0.0524
-1.8611 1.2628 8.7253
Co Ce Pr
8 4 4
direct
0.0670 0.8761 0.4143
0.0832 0.6691 0.9868
0.4330 0.8761 0.0857
0.5832 0.3309 0.4868
0.9330 0.1239 0.5857
0.5670 0.1239 0.9143
0.9168 0.3309 0.0132
0.4168 0.6691 0.5132
0.5384 0.8701 0.3419
0.4616 0.1299 0.6581
0.0384 0.1299 0.8419
0.9616 0.8701 0.1581
0.4566 0.3655 0.1548
0.9566 0.6345 0.6548
0.5434 0.6345 0.8452
0.0434 0.3655 0.3452
```

Results
**Total magnetization**: 0.00 μB/atom
**Energy above the most stable polymorph in this dataset**: 0 meV/atom
**Raw total energy**: -6.400 eV/atom
**Crystal system**: monoclinic
**ΔH_f (0 K)**: -169 meV/atom



A relaxed Ce3PrCo8 crystal, computed with PBE.

Structure (POSCAR):
```
Ce3PrCo8
1.0
-3.5178 3.1189 -1.7989
-4.7802 -1.5361 -0.3583
-4.2190 3.2752 6.8861
Co Ce Pr
8 3 1
direct
0.4388 0.9396 0.1829
0.4352 0.9370 0.6908
0.9370 0.9370 0.6908
0.4388 0.4388 0.1829
0.9396 0.4388 0.1829
0.9370 0.4352 0.6908
0.1875 0.1875 0.4374
0.6876 0.6876 0.9374
0.0025 0.0025 0.9926
0.3734 0.3734 0.8798
0.4967 0.4967 0.5100
0.8760 0.8760 0.3720
```

Results
**Total magnetization**: 0.00 μB/atom
**Raw total energy**: -6.789 eV/atom
**Crystal system**: trigonal
**ΔH_f (0 K)**: -170 meV/atom



A relaxed Ce2PrCo crystal, computed with PBE.

Structure (POSCAR):
```
Ce2PrCo
1.0
3.5001 0.0000 0.0000
0.0000 3.5001 0.0000
0.0000 0.0000 8.4276
Co Pr Ce
1 1 2
direct
0.5000 0.5000 0.0000
0.5000 0.5000 0.5000
0.0000 0.0000 0.8309
0.0000 0.0000 0.1691
```

Results
**Total magnetization**: 0.00 μB/atom
**Energy above the most stable polymorph in this dataset**: 97 meV/atom
**Raw total energy**: -5.945 eV/atom
**Crystal system**: tetragonal
**ΔH_f (0 K)**: -6 meV/atom



A relaxed CePrCo crystal, computed with PBE.

Structure (POSCAR):
```
CePrCo
1.0
5.1669 -0.2521 -0.1523
0.2241 4.6765 -0.1488
0.1930 0.1890 6.2395
Co Ce Pr
2 2 2
direct
0.8137 0.8666 0.0607
0.3137 0.3666 0.7785
0.8136 0.3665 0.9637
0.3136 0.8665 0.8755
0.8135 0.8664 0.5245
0.3135 0.3664 0.3147
```

Results
**Total magnetization**: 0.00 μB/atom
**Energy above the most stable polymorph in this dataset**: 0 meV/atom
**Raw total energy**: -6.064 eV/atom
**Crystal system**: orthorhombic
**ΔH_f (0 K)**: -124 meV/atom



A relaxed Ce3Pr4Co2 crystal, computed with PBE.

Structure (POSCAR):
```
Ce3Pr4Co2
1.0
-0.5707 1.2471 -3.3944
8.7186 -0.4382 -1.6269
-4.3355 -7.6168 -0.0952
Ce Pr Co
3 4 2
direct
0.0000 0.5000 0.0000
0.0749 0.1922 0.1498
0.9251 0.8078 0.8502
0.6264 0.8853 0.2527
0.2288 0.6450 0.4576
0.7712 0.3550 0.5424
0.3736 0.1147 0.7473
0.5761 0.3932 0.1523
0.4239 0.6068 0.8477
```

Results
**Total magnetization**: 0.00 μB/atom
**Raw total energy**: -5.767 eV/atom
**Crystal system**: monoclinic
**ΔH_f (0 K)**: -86 meV/atom



A relaxed Ce2PrCo crystal, computed with PBE.

Structure (POSCAR):
```
Ce2PrCo
1.0
3.7602 0.0000 0.0000
1.8801 3.2564 0.0000
1.8801 1.0855 8.9680
Ce Co Pr
2 1 1
direct
0.2756 0.2756 0.1733
0.0583 0.0583 0.8252
0.6664 0.6664 0.0008
0.4998 0.4998 0.5007
```

Results
**Total magnetization**: 0.01 μB/atom
**Energy above the most stable polymorph in this dataset**: 82 meV/atom
**Raw total energy**: -5.959 eV/atom
**Crystal system**: trigonal
**ΔH_f (0 K)**: -21 meV/atom



A relaxed CePr2Co9 crystal, computed with PBE.

Structure (POSCAR):
```
CePr2Co9
1.0
-4.2238 -2.1618 -1.5658
-0.0631 -4.8820 -1.0617
-3.5062 -4.0509 7.0787
Co Ce Pr
9 1 2
direct
0.5777 0.0810 0.7636
0.9190 0.4223 0.2364
0.6671 0.6671 0.9986
0.0810 0.5777 0.7636
0.3329 0.3329 0.0014
0.4223 0.4223 0.2364
0.4223 0.9190 0.2364
0.5777 0.5777 0.7636
0.5000 0.5000 0.5000
0.0000 0.0000 0.0000
0.8608 0.8608 0.4175
0.1392 0.1392 0.5825
```

Results
**Total magnetization**: 0.75 μB/atom
**Raw total energy**: -6.672 eV/atom
**Crystal system**: trigonal
**ΔH_f (0 K)**: -52 meV/atom



A relaxed CePr2Co crystal, computed with PBE.

Structure (POSCAR):
```
CePr2Co
1.0
6.5033 0.0000 0.0000
0.0000 6.8897 0.0000
0.0000 0.0000 9.9817
Pr Co Ce
8 4 4
direct
0.6736 0.8372 0.9310
0.8264 0.3372 0.9310
0.1736 0.6628 0.4310
0.3264 0.1628 0.4310
0.8264 0.3372 0.5690
0.1736 0.6628 0.0690
0.6736 0.8372 0.5690
0.3264 0.1628 0.0690
0.5022 0.8525 0.2500
0.9978 0.3525 0.2500
0.4978 0.1475 0.7500
0.0022 0.6475 0.7500
0.8389 0.0603 0.2500
0.1611 0.9397 0.7500
0.6611 0.5603 0.2500
0.3389 0.4397 0.7500
```

Results
**Total magnetization**: 0.00 μB/atom
**Energy above the most stable polymorph in this dataset**: 0 meV/atom
**Raw total energy**: -5.755 eV/atom
**Crystal system**: orthorhombic
**ΔH_f (0 K)**: -105 meV/atom



A relaxed CePrCo2 crystal, computed with PBE.

Structure (POSCAR):
```
CePrCo2
1.0
-1.2355 3.9245 -1.1295
-3.0560 0.5131 -2.9328
-5.0654 1.4221 2.4235
Ce Pr Co
1 1 2
direct
0.0000 0.0000 0.0000
0.5000 0.5000 0.5000
0.7059 0.7059 0.8823
0.2941 0.2941 0.1177
```

Results
**Total magnetization**: 0.00 μB/atom
**Energy above the most stable polymorph in this dataset**: 12 meV/atom
**Raw total energy**: -6.388 eV/atom
**Crystal system**: trigonal
**ΔH_f (0 K)**: -157 meV/atom